An optimized crystal structure of Sm3Dy3MgTe8. Source: the Alexandria database, functional PBE.

POSCAR file:
```
Sm3Dy3MgTe8
1.0
-4.460 -4.553 -5.994
2.542 -3.862 7.428
-6.395 6.036 0.174
Sm Dy Mg Te
3 3 1 8
Cartesian
0.000 0.000 0.000
1.271 -1.931 3.714
-0.959 -4.207 0.717
-5.428 0.741 -2.910
-4.156 -1.190 0.804
-1.926 1.087 3.801
-3.197 3.018 0.087
-1.487 -1.546 2.281
-6.826 -0.833 -0.673
-3.732 -3.839 -0.693
-4.581 1.460 2.300
-5.016 -1.888 -4.445
-3.297 -0.491 6.052
-2.763 0.412 -1.417
-5.550 -2.791 3.025
```

magnetic moment = 0.0 μB/f.u.
formation energy from raw total energies = -1.31 eV/atom
SG = No. 166

***

An optimized crystal structure of Sm2DyMgTe5. Source: the Alexandria database, functional PBE.

POSCAR file:
```
Sm2DyMgTe5
1.0
4.324 0.000 0.000
-2.162 9.442 0.000
0.000 0.000 13.541
Sm Dy Mg Te
4 2 2 10
Cartesian
2.162 6.901 10.861
0.000 2.116 9.244
0.000 2.542 4.090
2.162 7.326 2.474
2.162 5.586 6.928
0.000 3.856 0.158
2.162 1.002 12.951
0.000 8.440 6.180
0.000 6.888 13.533
2.162 3.550 11.473
0.000 9.350 10.514
0.000 5.335 9.093
2.162 8.512 7.810
2.162 2.554 6.762
0.000 5.892 4.702
2.162 0.092 3.743
2.162 4.108 2.322
0.000 0.930 1.039
```

magnetic moment = 0.0 μB/f.u.
formation energy from raw total energies = -1.21 eV/atom
SG = No. 36

***

An optimized crystal structure of SmDyThMg. Source: the Alexandria database, functional PBE.

POSCAR file:
```
SmDyThMg
1.0
5.557 0.000 0.000
2.779 4.813 0.000
2.779 1.604 4.538
Mg Sm Th Dy
1 1 1 1
Cartesian
0.000 0.000 0.000
8.336 4.813 3.403
5.557 3.209 2.269
2.779 1.604 1.134
```

energy of formation = 0.6 eV per formula unit
magnetic moment = 0.0 μB/f.u.
SG = No. 216

***

An optimized crystal structure of SmDyThMg. Source: the Alexandria database, functional PBE.

POSCAR file:
```
SmDyThMg
1.0
3.605 0.000 0.000
0.000 3.605 0.000
0.000 0.000 9.266
Sm Dy Th Mg
1 1 1 1
Cartesian
0.000 0.000 0.742
0.000 0.000 5.198
1.803 1.803 7.577
1.803 1.803 3.021
```

energy of formation = -0.2 eV per formula unit
magnetic moment = 0.0 μB/f.u.
SG = No. 99

***

An optimized crystal structure of Sm4Dy2ThMg. Source: the Alexandria database, functional PBE.

POSCAR file:
```
Sm4Dy2ThMg
1.0
5.887 0.000 0.000
0.000 9.414 -0.175
0.000 3.757 4.526
Sm Dy Th Mg
4 2 1 1
Cartesian
0.000 9.826 3.309
5.887 3.345 1.042
2.943 7.944 1.044
2.943 5.227 3.307
0.000 3.757 4.526
2.943 1.878 2.263
0.000 6.585 2.175
2.943 8.464 4.438
```

energy of formation = 0.8 eV per formula unit
magnetic moment = 0.0 μB/f.u.
SG = No. 123

***

An optimized crystal structure of SmDy2MgTl4. Source: the Alexandria database, functional PBE.

POSCAR file:
```
SmDy2MgTl4
1.0
-3.361 -3.579 -1.929
-0.046 -4.899 1.956
-7.270 -0.342 6.087
Sm Dy Mg Tl
1 2 1 4
Cartesian
0.000 0.000 0.000
-7.891 -6.662 4.469
-2.786 -2.157 1.644
-5.338 -4.410 3.057
-7.604 -3.492 5.301
-5.705 -7.547 2.305
-4.971 -1.273 3.809
-3.073 -5.327 0.813
```

energy of formation = -2.4 eV per formula unit
magnetic moment = 0.0 μB/f.u.
SG = No. 166